Compound: GeHPt3
Source: Alexandria
Functional: PBE
Structure: optimized geometry

Cell: 3.9021 6.7927 5.8769 Å, 119.08 90.00 90.00°
Positions (direct):
1 Pt 0.2500 0.4132 0.6086
2 Pt 0.7500 0.0830 0.2244
3 Pt 0.2500 0.9170 0.7756
4 Pt 0.7500 0.5868 0.3914
5 Pt 0.7500 0.2615 0.8261
6 Pt 0.2500 0.7385 0.1739
7 H 0.2500 0.9381 0.4985
8 H 0.7500 0.0619 0.5015
9 Ge 0.7500 0.6789 0.8605
10 Ge 0.2500 0.3211 0.1395

Properties
Its energy above the most stable polymorph in this dataset is 0 meV/atom. As for the space group: P2_1/m. The calculation puts the energy at -53.980 eV per cell. Its theoretical density is 16.07 g/cm3.